# 1
# AlC2, single point on PBEsol structure, DFT meta-GGA SCAN
data_AlC2
_chemical_formula_sum 'Al2 C4'
_symmetry_space_group_name_H-M 'P 1'
_symmetry_Int_Tables_number 1
_cell_length_a 4.230
_cell_length_b 4.230
_cell_length_c 4.230
_cell_angle_alpha 100.51
_cell_angle_beta 114.13
_cell_angle_gamma 114.13
loop_
_symmetry_equiv_pos_as_xyz
'x,y,z'
loop_
_atom_site_label
_atom_site_type_symbol
_atom_site_fract_x
_atom_site_fract_y
_atom_site_fract_z
_atom_site_occupancy
C1 C 0.500 0.899 0.601 1
C2 C 0.500 0.101 0.399 1
C3 C 0.298 0.399 0.899 1
C4 C 0.702 0.601 0.101 1
Al1 Al 0.000 0.250 0.250 1
Al2 Al 0.000 0.750 0.750 1
# Mass density ... 2.96 g/cm³
# Energy above the most stable polymorph in this dataset ... 16.93 kcal/mol of atoms
# Energy of formation from the pure elements ... 1.2457 eV/atom
# Symmetry ... I4/mcm (140)



# 2
# Hg2C, single point on PBEsol structure, DFT meta-GGA SCAN
data_Hg2C
_chemical_formula_sum 'Hg4 C2'
_symmetry_space_group_name_H-M 'P 1'
_symmetry_Int_Tables_number 1
_cell_length_a 3.853
_cell_length_b 3.853
_cell_length_c 8.696
_cell_angle_alpha 90.00
_cell_angle_beta 90.00
_cell_angle_gamma 120.00
loop_
_symmetry_equiv_pos_as_xyz
'x,y,z'
loop_
_atom_site_label
_atom_site_type_symbol
_atom_site_fract_x
_atom_site_fract_y
_atom_site_fract_z
_atom_site_occupancy
C1 C 0.667 0.333 0.750 1
C2 C 0.333 0.667 0.250 1
Hg1 Hg 0.000 0.000 0.000 1
Hg2 Hg 0.000 0.000 0.500 1
Hg3 Hg 0.667 0.333 0.250 1
Hg4 Hg 0.333 0.667 0.750 1
# Mass density ... 12.27 g/cm³
# Energy above the most stable polymorph in this dataset ... 0.00 kcal/mol of atoms
# Energy of formation from the pure elements ... 1.6842 eV/atom
# Symmetry ... P6_3/mmc (194)



# 3
# Sr2Ga3Au6, single point on PBEsol structure, DFT meta-GGA SCAN
data_Sr2Ga3Au6
_chemical_formula_sum 'Sr4 Ga6 Au12'
_symmetry_space_group_name_H-M 'P 1'
_symmetry_Int_Tables_number 1
_cell_length_a 8.397
_cell_length_b 8.397
_cell_length_c 8.732
_cell_angle_alpha 61.26
_cell_angle_beta 61.26
_cell_angle_gamma 60.00
loop_
_symmetry_equiv_pos_as_xyz
'x,y,z'
loop_
_atom_site_label
_atom_site_type_symbol
_atom_site_fract_x
_atom_site_fract_y
_atom_site_fract_z
_atom_site_occupancy
Sr1 Sr 0.589 0.589 0.232 1
Sr2 Sr 0.089 0.089 0.732 1
Sr3 Sr 0.411 0.411 0.768 1
Sr4 Sr 0.911 0.911 0.268 1
Ga1 Ga 0.943 0.750 0.750 1
Ga2 Ga 0.557 0.943 0.750 1
Ga3 Ga 0.750 0.557 0.750 1
Ga4 Ga 0.057 0.250 0.250 1
Ga5 Ga 0.443 0.057 0.250 1
Ga6 Ga 0.250 0.443 0.250 1
Au1 Au 0.023 0.635 0.045 1
Au2 Au 0.296 0.023 0.045 1
Au3 Au 0.635 0.296 0.045 1
Au4 Au 0.796 0.135 0.545 1
Au5 Au 0.523 0.796 0.545 1
Au6 Au 0.135 0.523 0.545 1
Au7 Au 0.977 0.365 0.955 1
Au8 Au 0.704 0.977 0.955 1
Au9 Au 0.365 0.704 0.955 1
Au10 Au 0.204 0.865 0.455 1
Au11 Au 0.477 0.204 0.455 1
Au12 Au 0.865 0.477 0.455 1
# Mass density ... 11.73 g/cm³
# Energy of formation from the pure elements ... -0.6917 eV/atom
# Symmetry ... R-3c (167)



# 4
# Al2Sb, single point on PBEsol structure, DFT meta-GGA SCAN
data_Al2Sb
_chemical_formula_sum 'Al4 Sb2'
_symmetry_space_group_name_H-M 'P 1'
_symmetry_Int_Tables_number 1
_cell_length_a 3.709
_cell_length_b 3.709
_cell_length_c 9.862
_cell_angle_alpha 100.84
_cell_angle_beta 100.84
_cell_angle_gamma 90.00
loop_
_symmetry_equiv_pos_as_xyz
'x,y,z'
loop_
_atom_site_label
_atom_site_type_symbol
_atom_site_fract_x
_atom_site_fract_y
_atom_site_fract_z
_atom_site_occupancy
Sb1 Sb 0.250 0.750 0.500 1
Sb2 Sb 0.000 0.000 0.000 1
Al1 Al 0.823 0.323 0.646 1
Al2 Al 0.427 0.427 0.854 1
Al3 Al 0.677 0.177 0.354 1
Al4 Al 0.573 0.573 0.146 1
# Mass density ... 4.46 g/cm³
# ΔE_f (raw) ... 22.4 kJ/mol of atoms
# Symmetry ... I4_1/amd (141)



# 5
# YMoOs2, single point on PBEsol structure, DFT meta-GGA SCAN
data_YMoOs2
_chemical_formula_sum 'Y1 Mo1 Os2'
_symmetry_space_group_name_H-M 'P 1'
_symmetry_Int_Tables_number 1
_cell_length_a 3.123
_cell_length_b 4.491
_cell_length_c 4.661
_cell_angle_alpha 90.00
_cell_angle_beta 90.00
_cell_angle_gamma 90.00
loop_
_symmetry_equiv_pos_as_xyz
'x,y,z'
loop_
_atom_site_label
_atom_site_type_symbol
_atom_site_fract_x
_atom_site_fract_y
_atom_site_fract_z
_atom_site_occupancy
Mo1 Mo 0.000 0.500 0.500 1
Os1 Os 0.000 0.000 0.000 1
Os2 Os 0.500 0.000 0.500 1
Y1 Y 0.500 0.500 0.000 1
# Mass density ... 14.36 g/cm³
# Energy above the most stable polymorph in this dataset ... 9.84 kcal/mol of atoms
# Energy of formation from the pure elements ... 0.4028 eV/atom
# Symmetry ... Pmmm (47)



# 6
# GaSbH3, single point on PBEsol structure, DFT meta-GGA SCAN
data_GaSbH3
_chemical_formula_sum 'Ga1 Sb1 H3'
_symmetry_space_group_name_H-M 'P 1'
_symmetry_Int_Tables_number 1
_cell_length_a 4.062
_cell_length_b 4.062
_cell_length_c 4.062
_cell_angle_alpha 90.00
_cell_angle_beta 90.00
_cell_angle_gamma 90.00
loop_
_symmetry_equiv_pos_as_xyz
'x,y,z'
loop_
_atom_site_label
_atom_site_type_symbol
_atom_site_fract_x
_atom_site_fract_y
_atom_site_fract_z
_atom_site_occupancy
Sb1 Sb 0.000 0.000 0.000 1
Ga1 Ga 0.500 0.500 0.500 1
H1 H 0.000 0.500 0.000 1
H2 H 0.000 0.000 0.500 1
H3 H 0.500 0.000 0.000 1
# Mass density ... 4.82 g/cm³
# Symmetry ... Pm-3m (221)



| no. | VASP energy (eV per formula unit) |
| --- | --- |
| 1 | -24.21 |
| 2 | -141.38 |
| 3 | -516.14 |
| 4 | -52.07 |
| 5 | -204.88 |
| 6 | -60.79 |